(1)
BeSbW2: optimized geometry, PBE-GGA.

Results
Energy (eV for the cell shown): -32.84
N(E_F) (states/eV/atom): 0.427
E_form (uncorrected) (eV/atom): 0.23
E above lowest polymorph (meV/atom): 0.0

a = 3.227 Å, b = 3.227 Å, c = 6.089 Å
α = 90.00°, β = 90.00°, γ = 90.00°
Sites, in units of the cell vectors:
Sb1 0.500 0.500 0.742
W1 0.000 0.000 0.030
Be1 0.000 0.000 0.445
W2 0.500 0.500 0.282

=====

(2)
BeSbW2: optimized geometry, PBE-GGA.

Results
Energy (eV for the cell shown): -31.36
N(E_F) (states/eV/atom): 0.582
E_form (uncorrected) (eV/atom): 0.60
E above lowest polymorph (meV/atom): 369.7

a = 8.505 Å, b = 8.505 Å, c = 8.505 Å
α = 21.07°, β = 21.07°, γ = 21.07°
Sites, in units of the cell vectors:
Be1 0.508 0.508 0.508
W1 0.249 0.249 0.249
W2 0.991 0.991 0.991
Sb1 0.751 0.751 0.751

=====

(3)
BeSbW2: optimized geometry, PBE-GGA.

Results
Energy (eV for the cell shown): -30.76
N(E_F) (states/eV/atom): 0.785
E_form (uncorrected) (eV/atom): 0.75
E above lowest polymorph (meV/atom): 518.9

a = 4.243 Å, b = 4.243 Å, c = 3.569 Å
α = 90.00°, β = 90.00°, γ = 97.78°
Sites, in units of the cell vectors:
Sb1 0.000 0.500 0.500
W1 0.000 0.000 0.000
W2 0.500 0.500 0.000
Be1 0.500 0.000 0.500

=====

(4)
BeSbW3: optimized geometry, PBE-GGA.

Results
Energy (eV for the cell shown): -32.14
N(E_F) (states/eV/atom): 1.298
E_form (uncorrected) (eV/atom): 2.91
E above lowest polymorph (meV/atom): 1955.0

a = 4.869 Å, b = 4.869 Å, c = 4.869 Å
α = 90.00°, β = 90.00°, γ = 90.00°
Sites, in units of the cell vectors:
Be1 0.500 0.500 0.500
W1 0.000 0.500 0.000
W2 0.000 0.000 0.500
Sb1 0.000 0.000 0.000
W3 0.500 0.000 0.000

=====

(5)
BeSbW2: optimized geometry, PBE-GGA.

Results
Energy (eV for the cell shown): -31.61
N(E_F) (states/eV/atom): 0.491
E_form (uncorrected) (eV/atom): 0.54
E above lowest polymorph (meV/atom): 306.8

a = 4.994 Å, b = 4.994 Å, c = 4.994 Å
α = 139.03°, β = 128.09°, γ = 68.17°
Sites, in units of the cell vectors:
Be1 0.509 0.509 0.000
W1 0.992 0.992 0.000
Sb1 0.258 0.758 0.500
W2 0.741 0.241 0.500

=====

(6)
BeSbW2: optimized geometry, PBE-GGA.

Results
Energy (eV for the cell shown): -61.82
N(E_F) (states/eV/atom): 0.323
E_form (uncorrected) (eV/atom): 0.71
E above lowest polymorph (meV/atom): 481.7

a = 3.828 Å, b = 3.828 Å, c = 9.866 Å
α = 78.81°, β = 78.81°, γ = 90.00°
Sites, in units of the cell vectors:
W1 0.875 0.841 0.750
Be1 0.500 0.500 0.000
Sb1 0.000 0.000 0.000
W2 0.159 0.625 0.250
W3 0.591 0.125 0.250
Be2 0.250 0.750 0.500
Sb2 0.750 0.250 0.500
W4 0.375 0.409 0.750

=====

(7)
BeSbW2: optimized geometry, PBE-GGA.

Results
Energy (eV for the cell shown): -31.14
N(E_F) (states/eV/atom): 0.696
E_form (uncorrected) (eV/atom): 0.65
E above lowest polymorph (meV/atom): 424.8

a = 4.287 Å, b = 2.892 Å, c = 5.302 Å
α = 81.14°, β = 90.00°, γ = 90.00°
Sites, in units of the cell vectors:
W1 0.000 0.513 0.476
W2 0.000 0.987 0.024
Sb1 0.500 0.750 0.750
Be1 0.500 0.250 0.250

=====

(8)
BeSbW2: optimized geometry, PBE-GGA.

Results
Energy (eV for the cell shown): -31.20
N(E_F) (states/eV/atom): 0.821
E_form (uncorrected) (eV/atom): 0.64
E above lowest polymorph (meV/atom): 409.9

a = 3.272 Å, b = 4.492 Å, c = 4.355 Å
α = 90.00°, β = 90.00°, γ = 90.00°
Sites, in units of the cell vectors:
W1 0.000 0.000 0.000
W2 0.500 0.500 0.000
Sb1 0.000 0.500 0.500
Be1 0.500 0.000 0.500